DyLuMgPd | PBE | optimized geometry

Values from the calculation:
- space group = F-43m
- formation energy (eV/atom) = -0.414

Structure (CIF):
```
data_DyLuMgPd
_chemical_formula_sum 'Dy1 Lu1 Mg1 Pd1'
_space_group_name_H-M_alt 'P 1'
_space_group_IT_number 1
_cell_length_a 5.079
_cell_length_b 5.079
_cell_length_c 5.079
_cell_angle_alpha 60.00
_cell_angle_beta 60.00
_cell_angle_gamma 60.00
loop_
_space_group_symop_operation_xyz
'x,y,z'
loop_
_atom_site_label
_atom_site_type_symbol
_atom_site_fract_x
_atom_site_fract_y
_atom_site_fract_z
Dy1 Dy 0.000 0.000 0.000
Lu1 Lu 0.500 0.500 0.500
Mg1 Mg 0.750 0.750 0.750
Pd1 Pd 0.250 0.250 0.250
```